4
Lattice="0.000 3.590 3.590 3.590 0.000 3.590 3.590 3.590 0.000" Properties=species:S:1:pos:R:3 comment="SCAN LaHgAs2, PBEsol geometry" formation_energy_ev_per_atom=-0.44 total_energy_ev_per_atom=-38.358 volume_a3_per_fu=93 n_ef_per_ev_atom=0.663 pbc="T T T"
La 0.000 0.000 0.000
Hg 5.386 5.386 5.386
As 1.795 1.795 1.795
As 3.590 3.590 3.590